No. 1
Density functional theory data (PBEsol) for an optimized crystal structure of SrBe3Ir. Values from VASP.

Quantum ESPRESSO input file:
```
&SYSTEM
  ibrav = 0, nat = 5, ntyp = 3
/
ATOMIC_SPECIES
Sr 87.62 Sr.upf
Be 9.01 Be.upf
Ir 192.22 Ir.upf
ATOMIC_POSITIONS crystal
Sr 0.0000 0.0000 0.0000
Be 0.0000 0.0000 0.5000
Be 0.0000 0.5000 0.0000
Be 0.5000 0.0000 0.0000
Ir 0.5000 0.5000 0.5000
CELL_PARAMETERS angstrom
4.3793 0.0000 0.0000
0.0000 4.3793 0.0000
0.0000 0.0000 4.3793
```

energy above the lowest structure with this stoichiometry: 2.954 eV/atom
Fermi-level density of states: 6.793 states/eV per cell
total magnetization: 0.00 μB/f.u.



No. 2
Density functional theory data (PBEsol) for an optimized crystal structure of RbTc3N. Values from VASP.

Quantum ESPRESSO input file:
```
&SYSTEM
  ibrav = 0, nat = 5, ntyp = 3
/
ATOMIC_SPECIES
Rb 85.47 Rb.upf
Tc 98.00 Tc.upf
N 14.01 N.upf
ATOMIC_POSITIONS crystal
Rb 0.0000 0.0000 0.0000
Tc 0.0000 0.5000 0.5000
Tc 0.5000 0.0000 0.5000
Tc 0.5000 0.5000 0.0000
N 0.5000 0.5000 0.5000
CELL_PARAMETERS angstrom
4.2055 0.0000 0.0000
0.0000 4.2055 0.0000
0.0000 0.0000 4.2055
```

Fermi-level density of states: 5.318 states/eV per cell
formation energy without anion corrections: 1.20 eV per atom
total magnetization: 2.66 μB/f.u.



No. 3
Density functional theory data (PBEsol) for an optimized crystal structure of Sc2ZnSe. Values from VASP.

Quantum ESPRESSO input file:
```
&SYSTEM
  ibrav = 0, nat = 4, ntyp = 3
/
ATOMIC_SPECIES
Sc 44.96 Sc.upf
Zn 65.41 Zn.upf
Se 78.96 Se.upf
ATOMIC_POSITIONS crystal
Sc 0.0000 0.0000 0.2493
Sc 0.0000 0.0000 0.7507
Zn 0.5000 0.5000 0.5000
Se 0.5000 0.5000 0.0000
CELL_PARAMETERS angstrom
3.4257 0.0000 0.0000
0.0000 3.4257 0.0000
0.0000 0.0000 6.1945
```

energy above the lowest structure with this stoichiometry: 0.128 eV/atom
Fermi-level density of states: 3.580 states/eV per cell
formation energy without anion corrections: -0.81 eV per atom
total magnetization: 0.00 μB/f.u.



No. 4
Density functional theory data (PBEsol) for an optimized crystal structure of NaZnIn3. Values from VASP.

Quantum ESPRESSO input file:
```
&SYSTEM
  ibrav = 0, nat = 5, ntyp = 3
/
ATOMIC_SPECIES
Na 22.99 Na.upf
Zn 65.41 Zn.upf
In 114.82 In.upf
ATOMIC_POSITIONS crystal
Na 0.0000 0.0000 0.0000
Zn 0.5000 0.5000 0.5000
In 0.0000 0.5000 0.5000
In 0.5000 0.0000 0.5000
In 0.5000 0.5000 0.0000
CELL_PARAMETERS angstrom
5.1918 0.0000 0.0000
0.0000 5.1918 0.0000
0.0000 0.0000 5.1918
```

E_tot: -11.1 eV/cell
Fermi-level density of states: 2.462 states/eV per cell
total magnetization: 0.00 μB/f.u.



No. 5
Density functional theory data (PBEsol) for an optimized crystal structure of BeOsN2F. Values from VASP.

Quantum ESPRESSO input file:
```
&SYSTEM
  ibrav = 0, nat = 5, ntyp = 4
/
ATOMIC_SPECIES
Be 9.01 Be.upf
Os 190.23 Os.upf
N 14.01 N.upf
F 19.00 F.upf
ATOMIC_POSITIONS crystal
Be 0.0000 0.0000 0.0000
Os 0.5000 0.5000 0.5000
N 0.0000 0.5000 0.0000
N 0.5000 0.0000 0.0000
F 0.0000 0.0000 0.5000
CELL_PARAMETERS angstrom
3.7491 0.0000 0.0000
0.0000 3.7491 0.0000
0.0000 0.0000 2.9148
```

Fermi-level density of states: 3.877 states/eV per cell
formation energy without anion corrections: 0.55 eV per atom
total magnetization: 0.84 μB/f.u.



No. 6
Density functional theory data (PBEsol) for an optimized crystal structure of CrAgW2. Values from VASP.

Quantum ESPRESSO input file:
```
&SYSTEM
  ibrav = 0, nat = 4, ntyp = 3
/
ATOMIC_SPECIES
Cr 52.00 Cr.upf
Ag 107.87 Ag.upf
W 183.84 W.upf
ATOMIC_POSITIONS crystal
Cr 0.0000 0.0000 0.0000
Ag 0.5000 0.5000 0.7401
W 0.0000 0.0000 0.4572
W 0.5000 0.5000 0.2151
CELL_PARAMETERS angstrom
3.1596 0.0000 0.0000
0.0000 3.1596 0.0000
0.0000 0.0000 6.0359
```

energy above the lowest structure with this stoichiometry: 0.000 eV/atom
Fermi-level density of states: 3.495 states/eV per cell
total magnetization: 1.31 μB/f.u.